# Pm3Si3Rh2

An optimized crystal structure of Pm3Si3Rh2 (PBE, Alexandria via LeMat-Bulk).

Values from the calculation:
Its total energy is -6.545 eV/atom. For the formation energy from raw total energies, the calculation gives -0.892 eV/atom. As for the density of states at the Fermi level: 20.9 states/eV/cell.

abc: 6.1169 7.6366 14.3806
angles: 90.00 90.00 90.00
Last column: nearest neighbours and their distance in Å.
Fractional positions:
Pm (0.1379, 0.4852, 0.3923)  6 Si 3.01-3.28, 4 Rh 3.09-3.37
Pm (0.6379, 0.0148, 0.6077)  6 Si 3.01-3.28, 4 Rh 3.09-3.37
Pm (0.8621, 0.5148, 0.8923)  6 Si 3.01-3.28, 4 Rh 3.09-3.37
Pm (0.3621, 0.9852, 0.1077)  6 Si 3.01-3.28, 4 Rh 3.09-3.37
Pm (0.8621, 0.5148, 0.6077)  6 Si 3.01-3.28, 4 Rh 3.09-3.37
Pm (0.3621, 0.9852, 0.3923)  6 Si 3.01-3.28, 4 Rh 3.09-3.37
Pm (0.1379, 0.4852, 0.1077)  6 Si 3.01-3.28, 4 Rh 3.09-3.37
Pm (0.6379, 0.0148, 0.8923)  6 Si 3.01-3.28, 4 Rh 3.09-3.37
Pm (0.6261, 0.3451, 0.2500)  4 Si 2.96-3.06, 4 Rh 3.15-3.19
Pm (0.1261, 0.1549, 0.7500)  4 Si 2.96-3.06, 4 Rh 3.15-3.19
Pm (0.3739, 0.6549, 0.7500)  4 Si 2.96-3.06, 4 Rh 3.15-3.19
Pm (0.8739, 0.8451, 0.2500)  4 Si 2.96-3.06, 4 Rh 3.15-3.19
Si (0.0906, 0.1979, 0.2500)  2 Rh 2.65
Si (0.5906, 0.3021, 0.7500)  2 Rh 2.65
Si (0.9094, 0.8021, 0.7500)  2 Rh 2.65
Si (0.4094, 0.6979, 0.2500)  2 Rh 2.65
Si (0.5976, 0.3331, 0.4555)  3 Rh 2.37-2.45
Si (0.0976, 0.1669, 0.5445)  3 Rh 2.37-2.45
Si (0.4024, 0.6669, 0.9555)  3 Rh 2.37-2.45
Si (0.9024, 0.8331, 0.0445)  3 Rh 2.37-2.45
Si (0.4024, 0.6669, 0.5445)  3 Rh 2.37-2.45
Si (0.9024, 0.8331, 0.4555)  3 Rh 2.37-2.45
Si (0.5976, 0.3331, 0.0445)  3 Rh 2.37-2.45
Si (0.0976, 0.1669, 0.9555)  3 Rh 2.37-2.45
Rh (0.8775, 0.1397, 0.4073)  4 Si 2.37-2.65
Rh (0.3775, 0.3603, 0.5927)  4 Si 2.37-2.65
Rh (0.1225, 0.8603, 0.9073)  4 Si 2.37-2.65
Rh (0.6225, 0.6397, 0.0927)  4 Si 2.37-2.65
Rh (0.1225, 0.8603, 0.5927)  4 Si 2.37-2.65
Rh (0.6225, 0.6397, 0.4073)  4 Si 2.37-2.65
Rh (0.8775, 0.1397, 0.0927)  4 Si 2.37-2.65
Rh (0.3775, 0.3603, 0.9073)  4 Si 2.37-2.65